KTiTe2N: optimized geometry, PBE-GGA.

Unit cell a=5.9927 b=5.9927 c=4.6592 alpha=90.00 beta=90.00 gamma=90.00
With the nearest neighbours (Å) after each atom.
Sites, in units of the cell vectors:
K1 0.0000 0.0000 0.0000  2 N 2.33
Ti1 0.5000 0.5000 0.5000  8 Te 3.80, 4 N 4.24
Te1 0.0000 0.5000 0.0000  2 K 3.00
Te2 0.5000 0.0000 0.0000  2 K 3.00
N1 0.0000 0.0000 0.5000  2 K 2.33

Calculated values
magnetization	0.8625	μB/atom
symmetry	P4/mmm
ΔE to the lowest computed polymorph	1936.9	meV per atom
Fermi-level density of states	1.417	states/eV per atom
energy relative to the elements, uncorrected	1542	meV per atom

---

FeCu6Pd8: optimized geometry, PBE-GGA.

Unit cell a=7.5374 b=7.5374 c=4.5060 alpha=90.00 beta=90.00 gamma=120.00
With the nearest neighbours (Å) after each atom.
Sites, in units of the cell vectors:
Fe1 0.0000 0.0000 0.0000  6 Pd 2.39
Cu1 0.1141 0.6341 0.7989  6 Pd 2.57-2.74, 3 Cu 2.62-2.67
Cu2 0.3659 0.4800 0.7989  6 Pd 2.57-2.74, 3 Cu 2.62-2.67
Cu3 0.4800 0.1141 0.2011  6 Pd 2.57-2.74, 3 Cu 2.62-2.67
Cu4 0.5200 0.8859 0.7989  6 Pd 2.57-2.74, 3 Cu 2.62-2.67
Cu5 0.6341 0.5200 0.2011  6 Pd 2.57-2.74, 3 Cu 2.62-2.67
Cu6 0.8859 0.3659 0.2011  6 Pd 2.57-2.74, 3 Cu 2.62-2.67
Pd1 0.0247 0.7488 0.2943  1 Fe 2.39, 4 Cu 2.57-2.64
Pd2 0.2512 0.2759 0.2943  1 Fe 2.39, 4 Cu 2.57-2.64
Pd3 0.2759 0.0247 0.7057  1 Fe 2.39, 4 Cu 2.57-2.64
Pd4 0.3333 0.6667 0.2975  3 Pd 2.69, 9 Cu 2.73-3.01
Pd5 0.6667 0.3333 0.7025  3 Pd 2.69, 9 Cu 2.73-3.01
Pd6 0.7241 0.9753 0.2943  1 Fe 2.39, 4 Cu 2.57-2.64
Pd7 0.7488 0.7241 0.7057  1 Fe 2.39, 4 Cu 2.57-2.64
Pd8 0.9753 0.2512 0.7057  1 Fe 2.39, 4 Cu 2.57-2.64

Calculated values
magnetization	0.3165	μB/atom
symmetry	P-3
energy of formation	0.081	eV per atom
ΔE to the lowest computed polymorph	6.0	meV per atom
Fermi-level density of states	0.361	states/eV per atom

---

LaMnCdW2: optimized geometry, PBE-GGA.

Unit cell a=4.8745 b=4.8745 c=5.5160 alpha=90.00 beta=90.00 gamma=90.00
With the nearest neighbours (Å) after each atom.
Sites, in units of the cell vectors:
La1 0.0000 0.0000 0.0000  4 W 2.44
Mn1 0.5000 0.5000 0.5000  4 Cd 3.45, 8 W 3.68
Cd1 0.0000 0.0000 0.5000  2 La 2.76
W1 0.0000 0.5000 0.0000  2 La 2.44
W2 0.5000 0.0000 0.0000  2 La 2.44

Calculated values
magnetization	0.1240	μB/atom
symmetry	P4/mmm
energy of formation	3.089	eV per atom
Fermi-level density of states	1.617	states/eV per atom

---

Hf2Zr2Be4Pt: optimized geometry, PBE-GGA.

Unit cell a=5.9989 b=5.9989 c=5.9989 alpha=121.34 beta=121.34 gamma=87.70
With the nearest neighbours (Å) after each atom.
Sites, in units of the cell vectors:
Hf1 0.2500 0.7500 0.5000  4 Zr 2.97, 8 Be 3.00
Hf2 0.7500 0.2500 0.5000  4 Zr 2.97, 8 Be 3.00
Zr1 0.2044 0.2044 0.0000  1 Pt 2.56, 4 Be 2.60
Zr2 0.7956 0.7956 0.0000  1 Pt 2.56, 4 Be 2.60
Be1 0.2292 0.2292 0.4584  1 Pt 2.25
Be2 0.2292 0.7708 0.0000  1 Pt 2.25
Be3 0.7708 0.2292 0.0000  1 Pt 2.25
Be4 0.7708 0.7708 0.5416  1 Pt 2.25
Pt1 0.5000 0.5000 0.0000  4 Be 2.25

Calculated values
magnetization	0.0000	μB/atom
symmetry	I4/mmm
energy of formation	0.059	eV per atom
Fermi-level density of states	0.715	states/eV per atom

---

CaLa2AgH: optimized geometry, PBE-GGA.

Unit cell a=4.9292 b=4.9292 c=5.2681 alpha=90.00 beta=90.00 gamma=90.00
With the nearest neighbours (Å) after each atom.
Sites, in units of the cell vectors:
Ca1 0.0000 0.0000 0.0000  2 H 2.63
La1 0.0000 0.5000 0.5000  2 H 2.46
La2 0.5000 0.0000 0.5000  2 H 2.46
Ag1 0.5000 0.5000 0.0000  4 Ca 3.49, 8 La 3.61
H1 0.0000 0.0000 0.5000  4 La 2.46, 2 Ca 2.63

Calculated values
magnetization	0.0000	μB/atom
symmetry	P4/mmm
ΔE to the lowest computed polymorph	0.0	meV per atom
Fermi-level density of states	1.161	states/eV per atom

---

Sc2AsPb: optimized geometry, PBE-GGA.

Unit cell a=4.1432 b=5.4390 c=7.9970 alpha=90.00 beta=90.00 gamma=90.00
With the nearest neighbours (Å) after each atom.
Sites, in units of the cell vectors:
Sc1 0.0000 0.0000 0.2152  2 As 2.69
Sc2 0.0000 0.0000 0.7848  2 As 2.69
Sc3 0.5000 0.5000 0.2152  2 As 2.69
Sc4 0.5000 0.5000 0.7848  2 As 2.69
As1 0.0000 0.5000 0.0000  4 Sc 2.69
As2 0.5000 0.0000 0.0000  4 Sc 2.69
Pb1 0.0000 0.5000 0.5000  4 Sc 3.08, 4 Pb 3.42
Pb2 0.5000 0.0000 0.5000  4 Sc 3.08, 4 Pb 3.42

Calculated values
magnetization	0.0000	μB/atom
symmetry	Cmmm
energy of formation	-0.685	eV per atom
ΔE to the lowest computed polymorph	193.0	meV per atom
Fermi-level density of states	0.584	states/eV per atom

---

MgSiTe2: optimized geometry, PBE-GGA.

Unit cell a=4.0740 b=3.8358 c=6.9728 alpha=90.00 beta=96.40 gamma=90.00
With the nearest neighbours (Å) after each atom.
Sites, in units of the cell vectors:
Mg1 0.0000 0.0000 0.0000  4 Te 2.94
Si1 0.0000 0.0000 0.5000  4 Te 2.79
Te1 0.3010 0.5000 0.7527  2 Si 2.79, 2 Mg 2.94
Te2 0.6990 0.5000 0.2473  2 Si 2.79, 2 Mg 2.94

Calculated values
magnetization	0.0000	μB/atom
symmetry	P2/m
ΔE to the lowest computed polymorph	308.6	meV per atom
Fermi-level density of states	0.315	states/eV per atom
energy relative to the elements, uncorrected	13	meV per atom

---

Nb2TcGeRh: optimized geometry, PBE-GGA.

Unit cell a=4.7752 b=4.7752 c=4.6127 alpha=90.00 beta=90.00 gamma=90.00
With the nearest neighbours (Å) after each atom.
Sites, in units of the cell vectors:
Nb1 0.0000 0.5000 0.0000  2 Tc 2.39
Nb2 0.5000 0.0000 0.0000  2 Tc 2.39
Tc1 0.0000 0.0000 0.0000  2 Ge 2.31, 4 Nb 2.39
Ge1 0.0000 0.0000 0.5000  2 Tc 2.31
Rh1 0.5000 0.5000 0.5000  8 Nb 3.32, 4 Ge 3.38

Calculated values
magnetization	0.0000	μB/atom
symmetry	P4/mmm
energy of formation	1.006	eV per atom
Fermi-level density of states	1.434	states/eV per atom

---

Dy3ScHg2: optimized geometry, PBE-GGA.

Unit cell a=3.6687 b=3.6687 c=11.8734 alpha=90.00 beta=90.00 gamma=90.00
With the nearest neighbours (Å) after each atom.
Sites, in units of the cell vectors:
Dy1 0.0000 0.0000 0.0000  8 Hg 3.24
Dy2 0.0000 0.0000 0.3202  4 Hg 3.19, 4 Sc 3.36
Dy3 0.0000 0.0000 0.6798  4 Hg 3.19, 4 Sc 3.36
Sc1 0.5000 0.5000 0.5000  8 Dy 3.36, 4 Sc 3.67
Hg1 0.5000 0.5000 0.1636  8 Dy 3.19-3.24
Hg2 0.5000 0.5000 0.8364  8 Dy 3.19-3.24

Calculated values
magnetization	0.0101	μB/atom
symmetry	P4/mmm
energy of formation	-0.287	eV per atom
ΔE to the lowest computed polymorph	53.5	meV per atom
Fermi-level density of states	1.324	states/eV per atom

---

Er9MnS14: optimized geometry, PBE-GGA.

Unit cell a=6.5682 b=6.5682 c=22.9403 alpha=104.11 beta=104.11 gamma=33.37
With the nearest neighbours (Å) after each atom.
Sites, in units of the cell vectors:
Er1 0.0000 0.0000 0.0000  6 S 2.66-2.75
Er2 0.0038 0.0038 0.4908  6 S 2.65-2.81
Er3 0.1924 0.1924 0.3728  7 S 2.71-2.94
Er4 0.1984 0.1984 0.8874  6 S 2.69-2.87
Er5 0.5845 0.5845 0.1806  7 S 2.71-3.00
Er6 0.5941 0.5941 0.6908  7 S 2.71-2.94
Er7 0.7805 0.7805 0.5720  6 S 2.66-2.80
Er8 0.8895 0.8895 0.2759  6 S 2.63-2.72
Er9 0.8949 0.8949 0.7851  6 S 2.63-2.72
Mn1 0.7724 0.7724 0.0706  6 S 2.54-2.66
S1 0.1515 0.1515 0.6056  5 Er 2.72-2.94
S2 0.1540 0.1540 0.1057  2 Mn 2.65, 3 Er 2.69-2.84
S3 0.2288 0.2288 0.2549  5 Er 2.72-2.86
S4 0.2358 0.2358 0.7579  4 Er 2.71-2.78
S5 0.3730 0.3730 0.0285  2 Mn 2.59, 2 Er 2.66
S6 0.3922 0.3922 0.5315  4 Er 2.66
S7 0.5481 0.5481 0.3050  5 Er 2.70-3.00
S8 0.5557 0.5557 0.8113  5 Er 2.72-2.93
S9 0.6287 0.6287 0.9634  1 Mn 2.66, 4 Er 2.75-2.85
S10 0.6333 0.6333 0.4574  5 Er 2.73-2.94
S11 0.8514 0.8514 0.3867  4 Er 2.65-2.71
S12 0.8521 0.8521 0.8917  4 Er 2.63-2.70
S13 0.9251 0.9251 0.1677  1 Mn 2.54, 3 Er 2.63-2.71
S14 0.9344 0.9344 0.6760  4 Er 2.66-2.71

Calculated values
magnetization	0.2038	μB/atom
symmetry	Cm
Fermi-level density of states	0.088	states/eV per atom
energy relative to the elements, uncorrected	-1932	meV per atom

---

Sm6Bi3Te2Pb: optimized geometry, PBE-GGA.

Unit cell a=10.0963 b=10.0963 c=9.0472 alpha=102.84 beta=102.84 gamma=25.90
With the nearest neighbours (Å) after each atom.
Sites, in units of the cell vectors:
Sm1 0.9998 0.9998 0.2458  2 Pb 3.17, 1 Te 3.21, 3 Bi 3.22-3.23
Sm2 0.0002 0.0002 0.7542  2 Pb 3.17, 1 Te 3.21, 3 Bi 3.22-3.23
Sm3 0.3344 0.3344 0.4148  3 Bi 3.17-3.18, 3 Te 3.20-3.21
Sm4 0.3355 0.3355 0.9199  1 Pb 3.15, 3 Bi 3.19-3.21, 2 Te 3.22
Sm5 0.6645 0.6645 0.0801  1 Pb 3.15, 3 Bi 3.19-3.21, 2 Te 3.22
Sm6 0.6656 0.6656 0.5852  3 Bi 3.17-3.18, 3 Te 3.20-3.21
Bi1 0.1682 0.1682 0.8329  6 Sm 3.18-3.22
Bi2 0.5000 0.5000 0.5000  6 Sm 3.17-3.23
Bi3 0.8318 0.8318 0.1671  6 Sm 3.18-3.22
Te1 0.1673 0.1673 0.3348  6 Sm 3.20-3.22
Te2 0.8327 0.8327 0.6652  6 Sm 3.20-3.22
Pb1 0.5000 0.5000 0.0000  6 Sm 3.15-3.17

Calculated values
magnetization	0.0000	μB/atom
symmetry	C2/m
Fermi-level density of states	0.220	states/eV per atom
energy relative to the elements, uncorrected	-1042	meV per atom

---

Sm4TlGe: optimized geometry, PBE-GGA.

Unit cell a=6.1504 b=6.7442 c=9.0175 alpha=90.00 beta=107.47 gamma=90.00
With the nearest neighbours (Å) after each atom.
Sites, in units of the cell vectors:
Sm1 0.1771 0.2500 0.0751  1 Ge 3.01, 1 Tl 3.16
Sm2 0.2729 0.5015 0.7526  2 Ge 3.05-3.08, 2 Tl 3.28-3.33, 2 Sm 3.35-3.39
Sm3 0.2732 0.7500 0.3700  1 Ge 3.03, 1 Tl 3.21
Sm4 0.2729 0.9985 0.7526  2 Ge 3.05-3.08, 2 Tl 3.28-3.33, 2 Sm 3.35-3.39
Sm5 0.7271 0.0015 0.2474  2 Ge 3.05-3.08, 2 Tl 3.28-3.33, 2 Sm 3.35-3.39
Sm6 0.7268 0.2500 0.6300  1 Ge 3.03, 1 Tl 3.21
Sm7 0.7271 0.4985 0.2474  2 Ge 3.05-3.08, 2 Tl 3.28-3.33, 2 Sm 3.35-3.39
Sm8 0.8229 0.7500 0.9249  1 Ge 3.01, 1 Tl 3.16
Tl1 0.1992 0.2500 0.4297  8 Sm 3.16-3.47
Tl2 0.8008 0.7500 0.5703  8 Sm 3.16-3.47
Ge1 0.3350 0.7500 0.0491  6 Sm 3.01-3.08
Ge2 0.6650 0.2500 0.9509  6 Sm 3.01-3.08

Calculated values
magnetization	0.0000	μB/atom
symmetry	P2_1/m
energy of formation	-0.423	eV per atom
ΔE to the lowest computed polymorph	0.0	meV per atom
Fermi-level density of states	0.898	states/eV per atom